Entry 1:
Here is an optimized crystal structure of Tb3PrSm3Se8 from Alexandria via LeMat-Bulk. Energies are from PBE-GGA.

abc: 8.252 8.253 8.262
angles: 119.97 90.00 120.00
Atoms (fractional coordinates):
1 Se 0.263 0.005 0.246
2 Se 0.737 0.995 0.754
3 Se 0.742 0.005 0.246
4 Se 0.741 0.483 0.246
5 Se 0.252 0.504 0.257
6 Se 0.259 0.517 0.754
7 Se 0.258 0.995 0.754
8 Se 0.748 0.496 0.743
9 Tb 0.000 0.500 0.500
10 Tb 0.500 0.000 0.500
11 Tb 0.500 0.500 0.500
12 Sm 0.000 0.000 0.000
13 Sm 0.500 0.500 0.000
14 Sm 0.000 0.500 0.000
15 Pr 0.000 0.000 0.500

Calculated values
As for the space group: No. 166.

Entry 2:
Here is an optimized crystal structure of Tb2PrSmSe6 from Alexandria via LeMat-Bulk. Energies are from PBE-GGA.

abc: 7.360 7.361 7.800
angles: 61.85 61.85 59.99
Atoms (fractional coordinates):
1 Sm 0.315 0.315 0.054
2 Se 0.619 0.227 0.247
3 Se 0.227 0.907 0.247
4 Se 0.907 0.619 0.247
5 Se 0.726 0.129 0.747
6 Se 0.129 0.398 0.747
7 Se 0.398 0.726 0.747
8 Pr 0.812 0.812 0.564
9 Tb 0.013 0.013 0.961
10 Tb 0.515 0.515 0.455

Calculated values
As for the space group: No. 146.

Entry 3:
Here is an optimized crystal structure of Tb3PrSm2Se6 from Alexandria via LeMat-Bulk. Energies are from PBE-GGA.

abc: 7.170 7.170 7.235
angles: 99.48 99.48 120.29
Atoms (fractional coordinates):
1 Se 0.913 0.575 0.739
2 Se 0.087 0.425 0.261
3 Se 0.748 0.748 0.258
4 Se 0.425 0.087 0.261
5 Se 0.252 0.252 0.742
6 Se 0.575 0.913 0.739
7 Tb 0.500 0.500 0.500
8 Tb 0.836 0.164 0.500
9 Tb 0.164 0.836 0.500
10 Pr 0.000 0.000 0.000
11 Sm 0.666 0.334 0.000
12 Sm 0.334 0.666 0.000

Calculated values
As for the space group: No. 12.

Entry 4:
Here is an optimized crystal structure of TbPrSm2Se5 from Alexandria via LeMat-Bulk. Energies are from PBE-GGA.

abc: 5.167 5.167 11.079
angles: 90.00 90.00 90.00
Atoms (fractional coordinates):
1 Tb 0.000 0.000 0.500
2 Se 0.000 0.500 0.500
3 Se 0.000 0.000 0.251
4 Se 0.500 0.000 0.500
5 Se 0.000 0.000 0.749
6 Se 0.500 0.500 0.000
7 Sm 0.500 0.500 0.340
8 Sm 0.500 0.500 0.660
9 Pr 0.000 0.000 0.000

Calculated values
As for the space group: No. 123.

Entry 5:
Here is an optimized crystal structure of PrSmTeSe2 from Alexandria via LeMat-Bulk. Energies are from PBE-GGA.

abc: 4.709 4.709 7.981
angles: 107.16 107.16 90.00
Atoms (fractional coordinates):
1 Se 0.252 0.752 0.504
2 Se 0.752 0.252 0.504
3 Pr 0.135 0.135 0.271
4 Te 0.501 0.501 0.002
5 Sm 0.860 0.860 0.720

Calculated values
As for the space group: No. 107.

Entry 6:
Here is an optimized crystal structure of PrSmTeSe from Alexandria via LeMat-Bulk. Energies are from PBE-GGA.

abc: 4.250 4.251 7.877
angles: 90.00 105.65 120.00
Atoms (fractional coordinates):
1 Te 0.475 0.135 0.626
2 Pr 0.950 0.373 0.338
3 Se 0.129 0.963 0.107
4 Sm 0.324 0.560 0.899

Calculated values
As for the space group: No. 160.

Entry 7:
Here is an optimized crystal structure of PrSmTe2Se from Alexandria via LeMat-Bulk. Energies are from PBE-GGA.

abc: 4.419 4.419 15.862
angles: 90.00 90.00 90.00
Atoms (fractional coordinates):
1 Te 0.000 0.500 0.709
2 Te 0.000 0.500 0.110
3 Te 0.500 0.000 0.890
4 Te 0.500 0.000 0.291
5 Se 0.000 0.000 0.500
6 Se 0.500 0.500 0.500
7 Sm 0.000 0.500 0.908
8 Sm 0.500 0.000 0.092
9 Pr 0.000 0.500 0.369
10 Pr 0.500 0.000 0.631

Calculated values
As for the space group: No. 129.

Entry 8:
Here is an optimized crystal structure of PrSm2Th3Se6 from Alexandria via LeMat-Bulk. Energies are from PBE-GGA.

abc: 7.179 7.179 7.372
angles: 99.25 99.25 119.07
Atoms (fractional coordinates):
1 Pr 0.000 0.000 0.000
2 Se 0.421 0.083 0.248
3 Se 0.258 0.258 0.757
4 Se 0.917 0.579 0.752
5 Se 0.742 0.742 0.243
6 Se 0.579 0.917 0.752
7 Se 0.083 0.421 0.248
8 Sm 0.332 0.668 0.000
9 Sm 0.668 0.332 0.000
10 Th 0.837 0.163 0.500
11 Th 0.500 0.500 0.500
12 Th 0.163 0.837 0.500

Calculated values
As for the space group: No. 12.

Which formation energy without anion corrections belongs to each record? In order, -1.853, -1.847, -1.803, -1.220, -1.400, -1.655, -1.447, -1.668 eV/atom.